(1)
An optimized crystal structure of Np3P2H4Pd2. Source: the Alexandria database, functional GGA-PBE.

```
Np3P2H4Pd2
1.0
-1.9437 1.9437 10.0828
1.9437 -1.9437 10.0828
1.9437 1.9437 -10.0828
Np P H Pd
3 2 4 2
Direct
0.0000 0.0000 0.0000
0.1710 0.1710 0.0000
0.8290 0.8290 0.0000
0.3056 0.3056 0.0000
0.6944 0.6944 0.0000
0.0767 0.5767 0.5000
0.4233 0.9233 0.5000
0.5767 0.0767 0.5000
0.9233 0.4233 0.5000
0.4275 0.4275 0.0000
0.5725 0.5725 0.0000
```

Calculated values
For the mass density, the calculation gives 10.79 g/cm3. As for the space-group type: I4/mmm, No. 139. For the final energy, the calculation gives -0.520 Ry per atom. As for the crystal system: tetragonal.

---

(2)
An optimized crystal structure of FeBr3N. Source: the Alexandria database, functional GGA-PBE.

```
FeBr3N
1.0
4.6805 0.0000 0.0000
0.0000 4.6805 0.0000
0.0000 0.0000 4.6805
Fe Br N
1 3 1
Direct
0.0000 0.0000 0.0000
0.0000 0.5000 0.5000
0.5000 0.0000 0.5000
0.5000 0.5000 0.0000
0.5000 0.5000 0.5000
```

Calculated values
For the mass density, the calculation gives 5.01 g/cm3. As for the space-group type: Pm-3m, No. 221. For the final energy, the calculation gives -0.229 Ry per atom. As for the crystal system: cubic. The uncorrected formation energy comes out at 1.242 eV/atom.

---

- Look up the mass density of the first one.
  10.79 g/cm3